DFT (PBE) results for a geometry-optimized La4HoMg3 structure.

- energy of formation from the pure elements (eV per atom) = -0.07
- N(E_F) (states/eV/cell) = 10.02

Structure (POSCAR):
```
La4HoMg3
1.0
3.910 0.000 0.000
0.000 3.910 0.000
0.000 0.000 16.772
La Ho Mg
4 1 3
Direct
0.000 0.000 0.119 La
0.000 0.000 0.359 La
0.000 0.000 0.641 La
0.000 0.000 0.881 La
0.500 0.500 0.500 Ho
0.500 0.500 0.000 Mg
0.500 0.500 0.240 Mg
0.500 0.500 0.760 Mg
```

***

DFT (PBE) results for a geometry-optimized La2Ho8Mg structure.

- energy of formation from the pure elements (eV per atom) = 0.16
- N(E_F) (states/eV/cell) = 17.43

Structure (POSCAR):
```
La2Ho8Mg
1.0
9.337 -3.427 0.000
9.337 3.427 0.000
-0.196 0.000 5.705
La Ho Mg
2 8 1
Direct
0.220 0.220 0.256 La
0.780 0.780 0.744 La
0.049 0.049 0.234 Ho
0.114 0.640 0.259 Ho
0.328 0.328 0.766 Ho
0.360 0.886 0.741 Ho
0.640 0.114 0.259 Ho
0.672 0.672 0.234 Ho
0.886 0.360 0.741 Ho
0.951 0.951 0.766 Ho
0.500 0.500 0.000 Mg
```

***

DFT (PBE) results for a geometry-optimized LaHoMg2 structure.

- energy of formation from the pure elements (eV per atom) = -0.10
- N(E_F) (states/eV/cell) = 4.00
- energy above the lowest structure with this stoichiometry (eV per formula unit) = 0.000

Structure (POSCAR):
```
LaHoMg2
1.0
0.000 3.868 3.868
3.868 0.000 3.868
3.868 3.868 0.000
La Ho Mg
1 1 2
Direct
0.000 0.000 0.000 La
0.500 0.500 0.500 Ho
0.250 0.250 0.250 Mg
0.750 0.750 0.750 Mg
```

***

DFT (PBE) results for a geometry-optimized LaHo8Mg2 structure.

- energy of formation from the pure elements (eV per atom) = 0.15
- N(E_F) (states/eV/cell) = 13.59

Structure (POSCAR):
```
LaHo8Mg2
1.0
4.345 -7.707 0.000
4.345 7.707 0.000
-2.443 0.000 5.133
La Ho Mg
1 8 2
Direct
0.000 0.000 0.000 La
0.096 0.321 0.632 Ho
0.217 0.783 0.000 Ho
0.321 0.096 0.632 Ho
0.412 0.412 0.205 Ho
0.588 0.588 0.795 Ho
0.679 0.904 0.368 Ho
0.783 0.217 0.000 Ho
0.904 0.679 0.368 Ho
0.307 0.693 0.500 Mg
0.693 0.307 0.500 Mg
```

***

- N(E_F) of number 2 (La2Ho8Mg)?
  17.43 states/eV/cell